--- 1 ---
# Pm2PrY6 (PBE, relaxed)
# Crystal system: monoclinic
data_Pm2PrY6
_cell_length_a 6.109
_cell_length_b 10.216
_cell_length_c 10.216
_cell_angle_alpha 70.10
_cell_angle_beta 84.12
_cell_angle_gamma 84.12
_symmetry_space_group_name_H-M 'P 1'
_symmetry_Int_Tables_number 1
loop_
_symmetry_equiv_pos_as_xyz
'x,y,z'
loop_
_atom_site_label
_atom_site_fract_x
_atom_site_fract_y
_atom_site_fract_z
Y1 0.019 0.584 0.317
Y2 0.152 0.354 0.081
Y3 0.981 0.416 0.683
Y4 0.187 0.986 0.253
Y5 0.481 0.683 0.416
Y6 0.813 0.014 0.747
Y7 0.348 0.919 0.646
Y8 0.687 0.253 0.986
Y9 0.848 0.646 0.919
Y10 0.313 0.747 0.014
Y11 0.519 0.317 0.584
Y12 0.652 0.081 0.354
Pr1 0.750 0.895 0.105
Pr2 0.250 0.105 0.895
Pm1 0.086 0.231 0.437
Pm2 0.586 0.437 0.231
Pm3 0.914 0.769 0.563
Pm4 0.414 0.563 0.769

--- 2 ---
# Pm2PrY6 (PBE, relaxed)
# Crystal system: orthorhombic
data_Pm2PrY6
_cell_length_a 3.515
_cell_length_b 9.907
_cell_length_c 9.907
_cell_angle_alpha 63.19
_cell_angle_beta 79.80
_cell_angle_gamma 79.80
_symmetry_space_group_name_H-M 'P 1'
_symmetry_Int_Tables_number 1
loop_
_symmetry_equiv_pos_as_xyz
'x,y,z'
loop_
_atom_site_label
_atom_site_fract_x
_atom_site_fract_y
_atom_site_fract_z
Y1 0.500 0.683 0.317
Y2 0.822 0.011 0.344
Y3 0.178 0.989 0.656
Y4 0.500 0.317 0.683
Y5 0.178 0.656 0.989
Y6 0.822 0.344 0.011
Pm1 0.843 0.658 0.658
Pm2 0.157 0.342 0.342
Pr1 0.000 0.000 0.000

Relative energies, unit kJ/mol of atoms: 1 0.0; 2 0.5

--- 1 ---
# Pm5Pr12Y2 (PBE, relaxed)
# Crystal system: monoclinic
data_Pm5Pr12Y2
_cell_length_a 7.544
_cell_length_b 10.386
_cell_length_c 10.309
_cell_angle_alpha 66.83
_cell_angle_beta 90.00
_cell_angle_gamma 111.29
_symmetry_space_group_name_H-M 'P 1'
_symmetry_Int_Tables_number 1
loop_
_symmetry_equiv_pos_as_xyz
'x,y,z'
loop_
_atom_site_label
_atom_site_fract_x
_atom_site_fract_y
_atom_site_fract_z
Pr1 0.090 0.681 0.853
Pr2 0.924 0.332 0.497
Pr3 0.910 0.319 0.147
Pr4 0.011 0.021 0.779
Pr5 0.989 0.979 0.221
Pr6 0.591 0.681 0.853
Pr7 0.493 0.986 0.327
Pr8 0.408 0.332 0.497
Pr9 0.409 0.319 0.147
Pr10 0.076 0.668 0.503
Pr11 0.507 0.014 0.673
Pr12 0.592 0.668 0.503
Pm1 0.322 0.644 0.200
Pm2 0.823 0.646 0.173
Pm3 0.000 0.000 0.500
Pm4 0.678 0.356 0.800
Pm5 0.177 0.354 0.827
Y1 0.295 0.000 0.000
Y2 0.705 0.000 0.000

--- 2 ---
# Pm5Pr12Y2 (PBE, relaxed)
# Crystal system: monoclinic
data_Pm5Pr12Y2
_cell_length_a 8.128
_cell_length_b 9.534
_cell_length_c 9.534
_cell_angle_alpha 67.95
_cell_angle_beta 87.84
_cell_angle_gamma 87.84
_symmetry_space_group_name_H-M 'P 1'
_symmetry_Int_Tables_number 1
loop_
_symmetry_equiv_pos_as_xyz
'x,y,z'
loop_
_atom_site_label
_atom_site_fract_x
_atom_site_fract_y
_atom_site_fract_z
Pr1 0.794 0.584 0.038
Pr2 0.389 0.169 0.618
Pr3 0.206 0.416 0.962
Pr4 0.890 0.139 0.139
Pr5 0.206 0.962 0.416
Pr6 0.710 0.448 0.448
Pr7 0.794 0.038 0.584
Pr8 0.611 0.831 0.382
Pr9 0.611 0.382 0.831
Pr10 0.389 0.618 0.169
Pr11 0.290 0.552 0.552
Pr12 0.110 0.861 0.861
Pm1 0.482 0.757 0.757
Pm2 0.914 0.653 0.653
Pm3 0.518 0.243 0.243
Pm4 0.500 0.000 0.000
Pm5 0.086 0.347 0.347
Y1 0.000 0.743 0.257
Y2 0.000 0.257 0.743

Relative energies, unit kJ/mol of atoms: 1 4.3; 2 0.0

--- 1 ---
# PmPr2Y4 (PBE, relaxed)
# Crystal system: monoclinic
data_PmPr2Y4
_cell_length_a 3.588
_cell_length_b 8.920
_cell_length_c 8.723
_cell_angle_alpha 119.27
_cell_angle_beta 101.87
_cell_angle_gamma 90.02
_symmetry_space_group_name_H-M 'P 1'
_symmetry_Int_Tables_number 1
loop_
_symmetry_equiv_pos_as_xyz
'x,y,z'
loop_
_atom_site_label
_atom_site_fract_x
_atom_site_fract_y
_atom_site_fract_z
Y1 0.706 0.292 0.413
Y2 0.294 0.708 0.587
Y3 0.646 0.846 0.293
Y4 0.354 0.154 0.707
Pr1 0.068 0.427 0.138
Pr2 0.932 0.573 0.862
Pm1 0.000 0.000 0.000

--- 2 ---
# PmPr2Y4 (PBE, relaxed)
# Crystal system: orthorhombic
data_PmPr2Y4
_cell_length_a 5.720
_cell_length_b 5.701
_cell_length_c 16.881
_cell_angle_alpha 90.00
_cell_angle_beta 90.00
_cell_angle_gamma 120.11
_symmetry_space_group_name_H-M 'P 1'
_symmetry_Int_Tables_number 1
loop_
_symmetry_equiv_pos_as_xyz
'x,y,z'
loop_
_atom_site_label
_atom_site_fract_x
_atom_site_fract_y
_atom_site_fract_z
Y1 0.169 0.337 0.648
Y2 0.165 0.329 0.250
Y3 0.500 0.000 0.000
Y4 0.835 0.671 0.750
Y5 0.831 0.663 0.352
Y6 0.500 0.000 0.500
Y7 0.831 0.663 0.148
Y8 0.169 0.337 0.852
Pm1 0.498 0.996 0.250
Pm2 0.502 0.004 0.750
Pr1 0.165 0.330 0.057
Pr2 0.835 0.670 0.557
Pr3 0.165 0.330 0.443
Pr4 0.835 0.670 0.943

Relative energies, unit kJ/mol of atoms: 1 0.0; 2 9.4

--- 1 ---
# Pm3Pr2Y (PBE, relaxed)
# Crystal system: monoclinic
data_Pm3Pr2Y
_cell_length_a 6.715
_cell_length_b 3.504
_cell_length_c 12.609
_cell_angle_alpha 97.98
_cell_angle_beta 133.86
_cell_angle_gamma 90.00
_symmetry_space_group_name_H-M 'P 1'
_symmetry_Int_Tables_number 1
loop_
_symmetry_equiv_pos_as_xyz
'x,y,z'
loop_
_atom_site_label
_atom_site_fract_x
_atom_site_fract_y
_atom_site_fract_z
Pm1 0.500 0.000 0.000
Pm2 0.201 0.171 0.341
Pm3 0.799 0.829 0.659
Pr1 0.672 0.661 0.323
Pr2 0.328 0.339 0.677
Y1 0.000 0.000 0.000

--- 2 ---
# Pm3Pr2Y (PBE, relaxed)
# Crystal system: monoclinic
data_Pm3Pr2Y
_cell_length_a 5.781
_cell_length_b 9.193
_cell_length_c 10.022
_cell_angle_alpha 122.96
_cell_angle_beta 90.00
_cell_angle_gamma 108.33
_symmetry_space_group_name_H-M 'P 1'
_symmetry_Int_Tables_number 1
loop_
_symmetry_equiv_pos_as_xyz
'x,y,z'
loop_
_atom_site_label
_atom_site_fract_x
_atom_site_fract_y
_atom_site_fract_z
Y1 0.875 0.750 0.871
Y2 0.125 0.250 0.129
Pm1 0.376 0.751 0.381
Pm2 0.999 0.998 0.331
Pm3 0.251 0.501 0.588
Pm4 0.749 0.499 0.412
Pm5 0.001 0.002 0.669
Pm6 0.624 0.249 0.619
Pr1 0.499 0.997 0.164
Pr2 0.251 0.501 0.922
Pr3 0.749 0.499 0.078
Pr4 0.501 0.003 0.836

Relative energies, unit kJ/mol of atoms: 1 8.6; 2 0.0

--- 1 ---
# Pm2Pr5Y12 (PBE, relaxed)
# Crystal system: triclinic
data_Pm2Pr5Y12
_cell_length_a 6.884
_cell_length_b 14.083
_cell_length_c 15.675
_cell_angle_alpha 153.19
_cell_angle_beta 86.92
_cell_angle_gamma 100.99
_symmetry_space_group_name_H-M 'P 1'
_symmetry_Int_Tables_number 1
loop_
_symmetry_equiv_pos_as_xyz
'x,y,z'
loop_
_atom_site_label
_atom_site_fract_x
_atom_site_fract_y
_atom_site_fract_z
Y1 0.939 0.538 0.740
Y2 0.442 0.927 0.120
Y3 0.613 0.611 0.384
Y4 0.388 0.481 0.089
Y5 0.862 0.392 0.998
Y6 0.387 0.389 0.616
Y7 0.061 0.462 0.260
Y8 0.558 0.073 0.880
Y9 0.138 0.608 0.002
Y10 0.038 0.971 0.763
Y11 0.612 0.519 0.911
Y12 0.962 0.029 0.237
Pm1 0.739 0.924 0.939
Pm2 0.261 0.076 0.061
Pr1 0.426 0.992 0.601
Pr2 0.574 0.008 0.399
Pr3 0.265 0.571 0.565
Pr4 0.735 0.429 0.435
Pr5 0.000 0.000 0.500

--- 2 ---
# Pm2Pr5Y12 (PBE, relaxed)
# Crystal system: monoclinic
data_Pm2Pr5Y12
_cell_length_a 8.210
_cell_length_b 10.057
_cell_length_c 9.163
_cell_angle_alpha 73.29
_cell_angle_beta 90.00
_cell_angle_gamma 114.09
_symmetry_space_group_name_H-M 'P 1'
_symmetry_Int_Tables_number 1
loop_
_symmetry_equiv_pos_as_xyz
'x,y,z'
loop_
_atom_site_label
_atom_site_fract_x
_atom_site_fract_y
_atom_site_fract_z
Y1 0.341 0.277 0.139
Y2 0.083 0.693 0.475
Y3 0.659 0.723 0.861
Y4 0.390 0.307 0.525
Y5 0.052 0.104 0.825
Y6 0.487 0.975 0.678
Y7 0.917 0.307 0.525
Y8 0.064 0.723 0.861
Y9 0.948 0.896 0.175
Y10 0.936 0.277 0.139
Y11 0.610 0.693 0.475
Y12 0.513 0.025 0.322
Pr1 0.698 0.396 0.807
Pr2 0.000 0.000 0.500
Pr3 0.242 0.484 0.780
Pr4 0.758 0.516 0.220
Pr5 0.302 0.604 0.193
Pm1 0.324 0.000 0.000
Pm2 0.676 0.000 0.000

Relative energies, unit kJ/mol of atoms: 1 0.0; 2 10.0

--- 1 ---
# Pm4PrY (PBE, relaxed)
# Crystal system: cubic
data_Pm4PrY
_cell_length_a 6.709
_cell_length_b 6.709
_cell_length_c 6.709
_cell_angle_alpha 60.00
_cell_angle_beta 60.00
_cell_angle_gamma 60.00
_symmetry_space_group_name_H-M 'P 1'
_symmetry_Int_Tables_number 1
loop_
_symmetry_equiv_pos_as_xyz
'x,y,z'
loop_
_atom_site_label
_atom_site_fract_x
_atom_site_fract_y
_atom_site_fract_z
Pm1 0.626 0.626 0.626
Pm2 0.123 0.626 0.626
Pm3 0.626 0.123 0.626
Pm4 0.626 0.626 0.123
Pr1 0.250 0.250 0.250
Y1 0.000 0.000 0.000

--- 2 ---
# Pm4PrY (PBE, relaxed)
# Crystal system: orthorhombic
data_Pm4PrY
_cell_length_a 3.655
_cell_length_b 5.150
_cell_length_c 12.119
_cell_angle_alpha 115.12
_cell_angle_beta 90.00
_cell_angle_gamma 90.00
_symmetry_space_group_name_H-M 'P 1'
_symmetry_Int_Tables_number 1
loop_
_symmetry_equiv_pos_as_xyz
'x,y,z'
loop_
_atom_site_label
_atom_site_fract_x
_atom_site_fract_y
_atom_site_fract_z
Pm1 0.000 0.334 0.335
Pm2 0.500 0.330 0.830
Pm3 0.500 0.670 0.170
Pm4 0.000 0.666 0.665
Pr1 0.000 0.000 0.000
Y1 0.500 0.000 0.500

--- 3 ---
# Pm4PrY (PBE, relaxed)
# Crystal system: monoclinic
data_Pm4PrY
_cell_length_a 6.457
_cell_length_b 6.457
_cell_length_c 6.095
_cell_angle_alpha 89.58
_cell_angle_beta 89.58
_cell_angle_gamma 54.57
_symmetry_space_group_name_H-M 'P 1'
_symmetry_Int_Tables_number 1
loop_
_symmetry_equiv_pos_as_xyz
'x,y,z'
loop_
_atom_site_label
_atom_site_fract_x
_atom_site_fract_y
_atom_site_fract_z
Pm1 0.676 0.676 0.048
Pm2 0.824 0.824 0.548
Pm3 0.324 0.324 0.952
Pm4 0.176 0.176 0.452
Pr1 0.500 0.500 0.500
Y1 0.000 0.000 0.000

Relative energies, unit kJ/mol of atoms: 1 21.7; 2 0.0; 3 8.5